Be2CrRe after structural relaxation, computed with PBE.

```
4
Lattice="-0.297 1.633 3.611 0.649 -2.209 3.239 3.264 0.592 2.188" Properties=species:S:1:pos:R:3 pbc="T T T"
Cr 1.808 0.008 4.519
Be 0.904 0.004 2.259
Be 0.000 0.000 0.000
Re 2.712 0.011 6.778
```

Values from the calculation:
Density   9.59 g/cm3
ΔH_f (0 K)   0.0 eV per formula unit
E_tot   -7.381 eV per atom
Crystal system   cubic
Size of the total moment   0.001 μB/atom

=====

BeCrRe2 after structural relaxation, computed with PBE.

```
4
Lattice="-2.230 -1.990 -0.340 0.974 -0.616 -2.779 3.253 -3.990 2.025" Properties=species:S:1:pos:R:3 pbc="T T T"
Re 1.575 -1.932 0.980
Re 0.051 -0.063 0.032
Cr 1.812 -4.296 -0.041
Be 0.185 -2.301 -1.053
```

Values from the calculation:
Density   14.38 g/cm3
ΔH_f (0 K)   0.1 eV per formula unit
E_tot   -9.527 eV per atom
Crystal system   tetragonal
Size of the total moment   0.000 μB/atom

=====

BeCrRe2 after structural relaxation, computed with PBE.

```
4
Lattice="-1.910 -0.793 2.174 2.268 -0.076 1.964 -0.863 5.383 1.206" Properties=species:S:1:pos:R:3 pbc="T T T"
Re -0.067 1.098 2.412
Re -0.842 5.256 1.178
Cr -0.447 3.471 2.944
Be -0.443 2.762 0.619
```

Values from the calculation:
Density   14.32 g/cm3
ΔH_f (0 K)   0.1 eV per formula unit
E_tot   -9.538 eV per atom
Crystal system   tetragonal
Size of the total moment   0.000 μB/atom